[1]
Ho2Hf2O7 | PBE | optimized geometry

SG = Fd-3m (227)
M_tot = 0.0 Bohr magnetons per cell

abc: 7.353 7.353 7.353
angles: 120.00 90.00 120.00
Element x y z (fractional)
Hf  0.000  0.000  0.000
Hf  0.500  0.000  0.000
Hf  0.500  0.500  0.000
Hf  0.500  0.500  0.500
Ho  0.000  0.500  0.000
Ho  0.000  0.000  0.500
Ho  0.000  0.500  0.500
Ho  0.500  0.000  0.500
O  0.410  0.750  0.090
O  0.840  0.180  0.090
O  0.840  0.750  0.090
O  0.590  0.250  0.340
O  0.590  0.680  0.340
O  0.160  0.250  0.340
O  0.125  0.750  0.375
O  0.875  0.250  0.625
O  0.840  0.750  0.660
O  0.410  0.320  0.660
O  0.410  0.750  0.660
O  0.590  0.250  0.910
O  0.160  0.820  0.910
O  0.160  0.250  0.910

***

[2]
CsSmHf | PBE | optimized geometry

SG = F-43m (216)
M_tot = 4.1 Bohr magnetons per cell
Relative energy among the computed polymorphs = 0 kJ/mol of formula units

abc: 5.688 5.688 5.688
angles: 60.00 60.00 60.00
Element x y z (fractional)
Cs  0.250  0.250  0.250
Hf  0.000  0.000  0.000
Sm  0.750  0.750  0.750

***

[3]
Ta2FePd | PBE | optimized geometry

DFT formation energy = 0.09 eV/atom
SG = F-43m (216)
M_tot = 0.0 Bohr magnetons per cell

abc: 4.421 4.421 4.421
angles: 60.00 60.00 60.00
Element x y z (fractional)
Fe  0.250  0.250  0.250
Pd  0.500  0.500  0.500
Ta  0.000  0.000  0.000
Ta  0.750  0.750  0.750

***

[4]
ZnBAs | PBE | optimized geometry

SG = F-43m (216)

abc: 4.144 4.144 4.144
angles: 60.00 60.00 60.00
Element x y z (fractional)
As  0.000  0.000  0.000
B  0.250  0.250  0.250
Zn  0.750  0.750  0.750

***

[5]
ScBeCoSn | PBE | optimized geometry

SG = F-43m (216)
M_tot = 0.5 Bohr magnetons per cell
Relative energy among the computed polymorphs = 104 kJ/mol of formula units

abc: 4.456 4.456 4.456
angles: 60.00 60.00 60.00
Element x y z (fractional)
Be  0.750  0.750  0.750
Co  0.000  0.000  0.000
Sc  0.250  0.250  0.250
Sn  0.500  0.500  0.500

***

[6]
HoSbIr | PBE | optimized geometry

SG = P-62m (189)
M_tot = 0.0 Bohr magnetons per cell

abc: 8.187 8.187 3.252
angles: 90.00 90.00 120.00
Element x y z (fractional)
Ho  0.300  0.000  0.000
Ho  0.000  0.300  0.000
Ho  0.700  0.700  0.000
Ir  0.647  0.000  0.500
Ir  0.353  0.353  0.500
Ir  0.000  0.647  0.500
Sb  0.667  0.333  0.000
Sb  0.333  0.667  0.000
Sb  0.000  0.000  0.500

***

[7]
KPdAu3O4 | PBE | optimized geometry

SG = P-43m (215)

abc: 5.534 5.534 5.534
angles: 90.00 90.00 90.00
Element x y z (fractional)
Au  0.500  0.500  0.000
Au  0.500  0.000  0.500
Au  0.000  0.500  0.500
K  0.000  0.000  0.000
O  0.276  0.276  0.276
O  0.724  0.724  0.276
O  0.724  0.276  0.724
O  0.276  0.724  0.724
Pd  0.500  0.500  0.500

***

[8]
Cs2CuAuBr2Cl4 | PBE | optimized geometry

SG = I4/mmm (139)

abc: 7.673 7.673 7.673
angles: 122.52 122.52 85.68
Element x y z (fractional)
Au  0.000  0.000  0.000
Br  0.295  0.295  0.000
Br  0.705  0.705  0.000
Cl  0.772  0.228  0.000
Cl  0.228  0.772  0.000
Cl  0.228  0.228  0.456
Cl  0.772  0.772  0.544
Cs  0.750  0.250  0.500
Cs  0.250  0.750  0.500
Cu  0.500  0.500  0.000

***

[9]
Sc2Ag2Sn | PBE | optimized geometry

SG = I4/mmm (139)
M_tot = 0.1 Bohr magnetons per cell
Relative energy among the computed polymorphs = 24 kJ/mol of formula units

abc: 6.920 6.920 6.920
angles: 144.87 144.87 50.53
Element x y z (fractional)
Ag  0.750  0.250  0.500
Ag  0.250  0.750  0.500
Sc  0.394  0.394  0.000
Sc  0.606  0.606  0.000
Sn  0.000  0.000  0.000

***

[10]
NbCuTe | PBE | optimized geometry

SG = F-43m (216)
M_tot = 1.6 Bohr magnetons per cell
Relative energy among the computed polymorphs = 0 kJ/mol of formula units

abc: 4.539 4.539 4.539
angles: 60.00 60.00 60.00
Element x y z (fractional)
Cu  0.250  0.250  0.250
Nb  0.000  0.000  0.000
Te  0.750  0.750  0.750

***

[11]
Pr2DySn4Au4 | PBE | optimized geometry

SG = Immm (71)
M_tot = 0.0 Bohr magnetons per cell

abc: 8.957 8.957 8.957
angles: 149.54 132.14 57.80
Element x y z (fractional)
Au  0.630  0.331  0.299
Au  0.969  0.669  0.299
Au  0.031  0.331  0.701
Au  0.370  0.669  0.701
Dy  0.000  0.000  0.000
Pr  0.630  0.130  0.500
Pr  0.370  0.870  0.500
Sn  0.213  0.213  0.000
Sn  0.787  0.787  0.000
Sn  0.702  0.500  0.202
Sn  0.298  0.500  0.798

***

[12]
Tb2Cu3Si5 | PBE | optimized geometry

SG = C2/c (15)
M_tot = 0.0 Bohr magnetons per cell

abc: 8.054 8.054 5.749
angles: 110.90 110.90 90.20
Element x y z (fractional)
Cu  0.758  0.490  0.124
Cu  0.000  0.000  0.250
Cu  0.510  0.242  0.376
Cu  0.490  0.758  0.624
Cu  0.000  0.000  0.750
Cu  0.242  0.510  0.876
Si  0.260  0.027  0.144
Si  0.762  0.238  0.250
Si  0.500  0.500  0.250
Si  0.238  0.762  0.250
Si  0.973  0.740  0.356
Si  0.027  0.260  0.644
Si  0.762  0.238  0.750
Si  0.500  0.500  0.750
Si  0.238  0.762  0.750
Si  0.740  0.973  0.856
Tb  0.619  0.866  0.242
Tb  0.134  0.381  0.258
Tb  0.866  0.619  0.742
Tb  0.381  0.134  0.758

***

[13]
HfFeAsPt | PBE | optimized geometry

SG = F-43m (216)
M_tot = 2.7 Bohr magnetons per cell
Relative energy among the computed polymorphs = 0 kJ/mol of formula units

abc: 4.527 4.527 4.527
angles: 60.00 60.00 60.00
Element x y z (fractional)
As  0.000  0.000  0.000
Fe  0.750  0.750  0.750
Hf  0.250  0.250  0.250
Pt  0.500  0.500  0.500

***

[14]
Zn2GeSe4 | PBE | optimized geometry

SG = P4_122 (91)

abc: 7.661 7.661 10.782
angles: 90.00 90.00 90.00
Element x y z (fractional)
Ge  0.500  0.239  0.000
Ge  0.761  0.500  0.250
Ge  0.500  0.761  0.500
Ge  0.239  0.500  0.750
Se  0.746  0.014  0.004
Se  0.748  0.477  0.010
Se  0.523  0.252  0.240
Se  0.986  0.254  0.246
Se  0.986  0.746  0.254
Se  0.523  0.748  0.260
Se  0.748  0.523  0.490
Se  0.746  0.986  0.496
Se  0.254  0.986  0.504
Se  0.252  0.523  0.510
Se  0.477  0.748  0.740
Se  0.014  0.746  0.746
Se  0.014  0.254  0.754
Se  0.477  0.252  0.760
Se  0.252  0.477  0.990
Se  0.254  0.014  0.996
Zn  0.000  0.239  0.000
Zn  0.258  0.742  0.125
Zn  0.761  0.000  0.250
Zn  0.258  0.258  0.375
Zn  0.000  0.761  0.500
Zn  0.742  0.258  0.625
Zn  0.239  0.000  0.750
Zn  0.742  0.742  0.875

***

[15]
DyZrZn2In | PBE | optimized geometry

SG = Amm2 (38)
M_tot = 0.0 Bohr magnetons per cell

abc: 3.349 7.375 7.375
angles: 34.54 90.00 90.00
Element x y z (fractional)
Dy  0.000  0.622  0.622
In  0.500  0.996  0.996
Zn  0.500  0.207  0.207
Zn  0.500  0.801  0.801
Zr  0.000  0.375  0.375

***

[16]
SmScAu | PBE | optimized geometry

DFT formation energy = 0.20 eV/atom
SG = F-43m (216)
M_tot = 0.0 Bohr magnetons per cell
Relative energy among the computed polymorphs = 48 kJ/mol of formula units

abc: 4.783 4.783 4.783
angles: 60.00 60.00 60.00
Element x y z (fractional)
Au  0.250  0.250  0.250
Sc  0.750  0.750  0.750
Sm  0.000  0.000  0.000

***

[17]
LuZnCuSe3 | PBE | optimized geometry

SG = Cmcm (63)
M_tot = 0.0 Bohr magnetons per cell

abc: 6.623 6.623 10.497
angles: 90.00 90.00 146.91
Element x y z (fractional)
Cu  0.021  0.979  0.250
Cu  0.979  0.021  0.750
Lu  0.500  0.500  0.000
Lu  0.500  0.500  0.500
Se  0.148  0.852  0.078
Se  0.393  0.607  0.250
Se  0.148  0.852  0.422
Se  0.852  0.148  0.578
Se  0.607  0.393  0.750
Se  0.852  0.148  0.922
Zn  0.730  0.270  0.250
Zn  0.270  0.730  0.750

***

[18]
Tl3CdO | PBE | optimized geometry

SG = I4/mcm (140)

abc: 7.335 7.335 7.335
angles: 124.69 124.69 82.06
Element x y z (fractional)
Cd  0.750  0.250  0.500
Cd  0.250  0.750  0.500
O  0.000  0.000  0.000
O  0.500  0.500  0.000
Tl  0.250  0.250  0.000
Tl  0.750  0.750  0.000
Tl  0.826  0.326  0.151
Tl  0.326  0.174  0.500
Tl  0.674  0.826  0.500
Tl  0.174  0.674  0.849

***

[19]
LuB2C | PBE | optimized geometry

SG = P4/mbm (127)
M_tot = 0.0 Bohr magnetons per cell

abc: 6.682 6.682 3.690
angles: 90.00 90.00 90.00
Element x y z (fractional)
B  0.819  0.032  0.000
B  0.032  0.181  0.000
B  0.532  0.319  0.000
B  0.319  0.468  0.000
B  0.681  0.532  0.000
B  0.468  0.681  0.000
B  0.968  0.819  0.000
B  0.181  0.968  0.000
C  0.584  0.084  0.000
C  0.084  0.416  0.000
C  0.916  0.584  0.000
C  0.416  0.916  0.000
Lu  0.302  0.198  0.500
Lu  0.802  0.302  0.500
Lu  0.198  0.698  0.500
Lu  0.698  0.802  0.500

***

[20]
SrBeNi3 | PBE | optimized geometry

SG = Pm-3m (221)
M_tot = 0.0 Bohr magnetons per cell

abc: 4.169 4.169 4.169
angles: 90.00 90.00 90.00
Element x y z (fractional)
Be  0.500  0.500  0.500
Ni  0.500  0.500  0.000
Ni  0.500  0.000  0.500
Ni  0.000  0.500  0.500
Sr  0.000  0.000  0.000

***

no.,E (eV/cell)
1,-205.975
2,-10.725
3,-36.846
4,-9.529
5,-20.963
6,-55.077
7,-33.277
8,-29.619
9,-22.087
10,-15.811
11,-50.721
12,-103.648
13,-30.448
14,-93.886
15,-20.155
16,-13.701
17,-49.687
18,-27.483
19,-113.895
20,-21.776